This record from the Alexandria database describes a geometry-optimized ZrBiRuSe2 structure. The functional is PBE.

a b c (Å): 4.8205 4.8205 5.1528
angles (deg): 90.00 90.00 90.00
Fractional positions:
Ru: 0.0000 0.0000 0.0000
Zr: 0.0000 0.0000 0.5000
Se: 0.5000 0.0000 0.0000
Se: 0.0000 0.5000 0.0000
Bi: 0.5000 0.5000 0.5000

Summary:
The calculation puts the density at 7.76 g cm⁻³. Its calculated volume is 120 Å³ per cell. The total energy is -5.5614 eV per atom. Its space group is P4/mmm, No. 123. The calculation puts the uncorrected formation energy at 4.00 kcal/mol of atoms.

---

This record from the Alexandria database describes a geometry-optimized Cs2ZrICl6 structure. The functional is PBE.

a b c (Å): 8.6762 8.6762 8.3099
angles (deg): 58.53 58.53 90.00
Each line ends with the local moment (μB).
Fractional positions:
Cl: 0.2770 0.2770 0.4461  0.07
Cl: 0.2975 0.7025 0.0000  0.00
Cl: 0.2975 0.2975 0.0000  0.00
Cl: 0.7025 0.7025 0.0000  0.00
Cl: 0.7230 0.7230 0.5539  0.07
Cl: 0.7025 0.2975 0.0000  0.00
Cs: 0.7500 0.2500 0.5000  0.00
Cs: 0.2500 0.7500 0.5000  0.00
I: 0.0000 0.0000 0.0000  0.50
Zr: 0.5000 0.5000 0.0000  0.04

Summary:
The calculation puts the density at 2.74 g cm⁻³. Its calculated volume is 422 Å³ per cell. The total energy is -3.8962 eV per atom. Its space group is I4/mmm, No. 139. The calculation puts the uncorrected formation energy at -37.07 kcal/mol of atoms.